No. 1
{
  "formula": "LaPbI",
  "functional": "PBE",
  "state": "optimized geometry",
  "spacegroup": "P2_1/m, No. 11",
  "total_energy_ev_per_atom": -4.31,
  "formation_energy_uncorrected_ev_per_fu": -2.74,
  "polymorph_energy_ev_per_atom": 0.000,
  "lattice_angstrom": [[4.519, 0.000, 0.000], [0.000, 4.669, 0.000], [-2.183, 0.000, 11.787]],
  "species": ["La", "La", "Pb", "Pb", "I", "I"],
  "frac_coords": [[0.080, 0.250, 0.166], [0.920, 0.750, 0.834], [0.458, 0.250, 0.913], [0.542, 0.750, 0.087], [0.326, 0.750, 0.640], [0.674, 0.250, 0.360]]
}


No. 2
{
  "formula": "La4PbI5",
  "functional": "PBE",
  "state": "optimized geometry",
  "spacegroup": "C2/m, No. 12",
  "total_energy_ev_per_atom": -4.33,
  "formation_energy_uncorrected_ev_per_fu": -12.11,
  "lattice_angstrom": [[9.860, -2.250, 0.000], [9.860, 2.250, 0.000], [-1.806, 0.000, 9.294]],
  "species": ["La", "La", "La", "La", "Pb", "I", "I", "I", "I", "I"],
  "frac_coords": [[0.002, 0.002, 0.236], [0.336, 0.336, 0.935], [0.664, 0.664, 0.065], [0.998, 0.998, 0.764], [0.500, 0.500, 0.000], [0.168, 0.168, 0.809], [0.169, 0.169, 0.322], [0.500, 0.500, 0.500], [0.831, 0.831, 0.678], [0.832, 0.832, 0.191]]
}


No. 3
{
  "formula": "LaPmPbI",
  "functional": "PBE",
  "state": "optimized geometry",
  "spacegroup": "F-43m, No. 216",
  "total_energy_ev_per_atom": -4.44,
  "formation_energy_uncorrected_ev_per_fu": -2.82,
  "lattice_angstrom": [[0.000, 3.972, 3.972], [3.972, 0.000, 3.972], [3.972, 3.972, 0.000]],
  "species": ["La", "Pm", "Pb", "I"],
  "frac_coords": [[0.000, 0.000, 0.000], [0.500, 0.500, 0.500], [0.250, 0.250, 0.250], [0.750, 0.750, 0.750]]
}


No. 4
{
  "formula": "RbLaPb2I8",
  "functional": "PBE",
  "state": "optimized geometry",
  "spacegroup": "P-1, No. 2",
  "total_energy_ev_per_atom": -3.18,
  "formation_energy_uncorrected_ev_per_fu": -12.48,
  "lattice_angstrom": [[7.518, 0.000, 0.000], [0.114, 7.937, 0.000], [0.012, 0.004, 9.920]],
  "species": ["Rb", "La", "Pb", "Pb", "I", "I", "I", "I", "I", "I", "I", "I"],
  "frac_coords": [[0.000, 0.000, 0.000], [0.000, 0.000, 0.500], [0.500, 0.500, 0.247], [0.500, 0.500, 0.753], [0.246, 0.332, 0.500], [0.255, 0.841, 0.722], [0.255, 0.842, 0.278], [0.268, 0.374, 0.000], [0.732, 0.626, 0.000], [0.745, 0.158, 0.722], [0.745, 0.159, 0.278], [0.754, 0.668, 0.500]]
}


No. 5
{
  "formula": "Rb2LaPbI6",
  "functional": "PBE",
  "state": "optimized geometry",
  "spacegroup": "I4/mmm, No. 139",
  "total_energy_ev_per_atom": -3.12,
  "formation_energy_uncorrected_ev_per_fu": -11.28,
  "lattice_angstrom": [[-4.482, 4.482, 6.930], [4.482, -4.482, 6.930], [4.482, 4.482, -6.930]],
  "species": ["Rb", "Rb", "La", "Pb", "I", "I", "I", "I", "I", "I"],
  "frac_coords": [[0.250, 0.750, 0.500], [0.750, 0.250, 0.500], [0.000, 0.000, 0.000], [0.500, 0.500, 0.000], [0.228, 0.228, 0.000], [0.248, 0.248, 0.496], [0.248, 0.752, 0.000], [0.752, 0.248, 0.000], [0.752, 0.752, 0.504], [0.772, 0.772, 0.000]]
}


No. 6
{
  "formula": "La8Rh3PbI4",
  "functional": "PBE",
  "state": "optimized geometry",
  "spacegroup": "C2/m, No. 12",
  "total_energy_ev_per_atom": -5.40,
  "formation_energy_uncorrected_ev_per_fu": -15.05,
  "lattice_angstrom": [[7.609, -4.385, 0.000], [7.609, 4.385, 0.000], [-5.073, 0.000, 8.153]],
  "species": ["La", "La", "La", "La", "La", "La", "La", "La", "Rh", "Rh", "Rh", "Pb", "I", "I", "I", "I"],
  "frac_coords": [[0.203, 0.745, 0.691], [0.232, 0.232, 0.693], [0.255, 0.797, 0.309], [0.256, 0.256, 0.309], [0.744, 0.744, 0.691], [0.745, 0.203, 0.691], [0.768, 0.768, 0.307], [0.797, 0.255, 0.309], [0.000, 0.000, 0.500], [0.000, 0.500, 0.500], [0.500, 0.000, 0.500], [0.500, 0.500, 0.500], [0.000, 0.000, 0.000], [0.000, 0.500, 0.000], [0.500, 0.000, 0.000], [0.500, 0.500, 0.000]]
}


No. 7
{
  "formula": "LaSbPbI2",
  "functional": "PBE",
  "state": "optimized geometry",
  "spacegroup": "P4/mmm, No. 123",
  "total_energy_ev_per_atom": -3.50,
  "formation_energy_uncorrected_ev_per_fu": -1.64,
  "lattice_angstrom": [[6.097, 0.000, 0.000], [0.000, 6.097, 0.000], [0.000, 0.000, 6.390]],
  "species": ["La", "Sb", "Pb", "I", "I"],
  "frac_coords": [[0.000, 0.000, 0.000], [0.000, 0.000, 0.500], [0.500, 0.500, 0.500], [0.000, 0.500, 0.000], [0.500, 0.000, 0.000]]
}


No. 8
{
  "formula": "La4SbPbI2",
  "functional": "PBE",
  "state": "optimized geometry",
  "spacegroup": "P2/m, No. 10",
  "total_energy_ev_per_atom": -4.87,
  "formation_energy_uncorrected_ev_per_fu": -8.29,
  "lattice_angstrom": [[7.920, 0.000, 0.000], [0.000, 4.690, 0.000], [-2.772, 0.000, 7.654]],
  "species": ["La", "La", "La", "La", "Sb", "Pb", "I", "I"],
  "frac_coords": [[0.228, 0.000, 0.239], [0.231, 0.500, 0.747], [0.769, 0.500, 0.253], [0.772, 0.000, 0.761], [0.000, 0.500, 0.000], [0.000, 0.000, 0.500], [0.500, 0.000, 0.000], [0.500, 0.500, 0.500]]
}


No. 9
{
  "formula": "La4Pb2SeI",
  "functional": "PBE",
  "state": "optimized geometry",
  "spacegroup": "P2/m, No. 10",
  "total_energy_ev_per_atom": -5.09,
  "formation_energy_uncorrected_ev_per_fu": -8.54,
  "lattice_angstrom": [[7.770, 0.000, 0.000], [0.000, 4.649, 0.000], [-2.773, 0.000, 7.586]],
  "species": ["La", "La", "La", "La", "Pb", "Pb", "Se", "I"],
  "frac_coords": [[0.244, 0.000, 0.236], [0.252, 0.500, 0.762], [0.748, 0.500, 0.238], [0.756, 0.000, 0.764], [0.000, 0.000, 0.500], [0.000, 0.500, 0.000], [0.500, 0.000, 0.000], [0.500, 0.500, 0.500]]
}


No. 10
{
  "formula": "La3PbSeI",
  "functional": "PBE",
  "state": "optimized geometry",
  "spacegroup": "P2_1/m, No. 11",
  "total_energy_ev_per_atom": -5.07,
  "formation_energy_uncorrected_ev_per_fu": -6.88,
  "lattice_angstrom": [[8.415, 0.000, 0.000], [0.000, 4.488, 0.000], [-3.967, 0.000, 10.863]],
  "species": ["La", "La", "La", "La", "La", "La", "Pb", "Pb", "Se", "Se", "I", "I"],
  "frac_coords": [[0.175, 0.250, 0.479], [0.180, 0.250, 0.116], [0.312, 0.750, 0.839], [0.688, 0.250, 0.161], [0.820, 0.750, 0.884], [0.825, 0.750, 0.521], [0.003, 0.250, 0.744], [0.997, 0.750, 0.256], [0.420, 0.750, 0.109], [0.580, 0.250, 0.891], [0.471, 0.750, 0.619], [0.529, 0.250, 0.381]]
}


No. 11
{
  "formula": "La4PbSe2I",
  "functional": "PBE",
  "state": "optimized geometry",
  "spacegroup": "P2/m, No. 10",
  "total_energy_ev_per_atom": -5.41,
  "formation_energy_uncorrected_ev_per_fu": -11.37,
  "lattice_angstrom": [[7.710, 0.000, 0.000], [0.000, 4.466, 0.000], [-2.563, 0.000, 7.420]],
  "species": ["La", "La", "La", "La", "Pb", "Se", "Se", "I"],
  "frac_coords": [[0.229, 0.000, 0.218], [0.251, 0.500, 0.774], [0.749, 0.500, 0.226], [0.771, 0.000, 0.782], [0.000, 0.000, 0.500], [0.000, 0.500, 0.000], [0.500, 0.000, 0.000], [0.500, 0.500, 0.500]]
}


No. 12
{
  "formula": "La4PbSeI2",
  "functional": "PBE",
  "state": "optimized geometry",
  "spacegroup": "P2/m, No. 10",
  "total_energy_ev_per_atom": -4.94,
  "formation_energy_uncorrected_ev_per_fu": -9.52,
  "lattice_angstrom": [[7.839, 0.000, 0.000], [0.000, 4.547, 0.000], [-2.668, 0.000, 7.656]],
  "species": ["La", "La", "La", "La", "Pb", "Se", "I", "I"],
  "frac_coords": [[0.217, 0.000, 0.210], [0.237, 0.500, 0.779], [0.763, 0.500, 0.221], [0.783, 0.000, 0.790], [0.500, 0.000, 0.000], [0.000, 0.500, 0.000], [0.000, 0.000, 0.500], [0.500, 0.500, 0.500]]
}


No. 13
{
  "formula": "La4SiPbI2",
  "functional": "PBE",
  "state": "optimized geometry",
  "spacegroup": "P2/m, No. 10",
  "total_energy_ev_per_atom": -4.93,
  "formation_energy_uncorrected_ev_per_fu": -7.50,
  "lattice_angstrom": [[8.029, 0.000, 0.000], [0.000, 4.560, 0.000], [-2.613, 0.000, 7.621]],
  "species": ["La", "La", "La", "La", "Si", "Pb", "I", "I"],
  "frac_coords": [[0.220, 0.000, 0.208], [0.241, 0.500, 0.782], [0.759, 0.500, 0.218], [0.780, 0.000, 0.792], [0.000, 0.500, 0.000], [0.500, 0.000, 0.000], [0.000, 0.000, 0.500], [0.500, 0.500, 0.500]]
}


No. 14
{
  "formula": "La8Si3PbI4",
  "functional": "PBE",
  "state": "optimized geometry",
  "spacegroup": "R-3m, No. 166",
  "total_energy_ev_per_atom": -5.07,
  "formation_energy_uncorrected_ev_per_fu": -15.57,
  "lattice_angstrom": [[4.511, 2.604, 7.749], [-4.511, 2.604, 7.749], [0.000, -5.209, 7.749]],
  "species": ["La", "La", "La", "La", "La", "La", "La", "La", "Si", "Si", "Si", "Pb", "I", "I", "I", "I"],
  "frac_coords": [[0.220, 0.744, 0.744], [0.233, 0.233, 0.233], [0.256, 0.256, 0.780], [0.256, 0.780, 0.256], [0.744, 0.220, 0.744], [0.744, 0.744, 0.220], [0.767, 0.767, 0.767], [0.780, 0.256, 0.256], [0.000, 0.000, 0.500], [0.000, 0.500, 0.000], [0.500, 0.000, 0.000], [0.500, 0.500, 0.500], [0.000, 0.000, 0.000], [0.000, 0.500, 0.500], [0.500, 0.000, 0.500], [0.500, 0.500, 0.000]]
}


No. 15
{
  "formula": "La4SnPbI2",
  "functional": "PBE",
  "state": "optimized geometry",
  "spacegroup": "P2/m, No. 10",
  "total_energy_ev_per_atom": -4.75,
  "formation_energy_uncorrected_ev_per_fu": -7.45,
  "lattice_angstrom": [[7.899, 0.000, 0.000], [0.000, 4.731, 0.000], [-2.837, 0.000, 7.683]],
  "species": ["La", "La", "La", "La", "Sn", "Pb", "I", "I"],
  "frac_coords": [[0.228, 0.000, 0.240], [0.230, 0.500, 0.747], [0.770, 0.500, 0.253], [0.772, 0.000, 0.760], [0.000, 0.500, 0.000], [0.000, 0.000, 0.500], [0.500, 0.000, 0.000], [0.500, 0.500, 0.500]]
}


No. 16
{
  "formula": "Sr2LaPbI",
  "functional": "PBE",
  "state": "optimized geometry",
  "spacegroup": "P4/mmm, No. 123",
  "total_energy_ev_per_atom": -2.38,
  "formation_energy_uncorrected_ev_per_fu": 1.63,
  "lattice_angstrom": [[6.770, 0.000, 0.000], [0.000, 6.770, 0.000], [0.000, 0.000, 5.925]],
  "species": ["Sr", "Sr", "La", "Pb", "I"],
  "frac_coords": [[0.000, 0.500, 0.000], [0.500, 0.000, 0.000], [0.000, 0.000, 0.000], [0.500, 0.500, 0.500], [0.000, 0.000, 0.500]]
}


No. 17
{
  "formula": "La2TePbI",
  "functional": "PBE",
  "state": "optimized geometry",
  "spacegroup": "P4/mmm, No. 123",
  "total_energy_ev_per_atom": -3.77,
  "formation_energy_uncorrected_ev_per_fu": -0.60,
  "lattice_angstrom": [[6.102, 0.000, 0.000], [0.000, 6.102, 0.000], [0.000, 0.000, 5.880]],
  "species": ["La", "La", "Te", "Pb", "I"],
  "frac_coords": [[0.000, 0.500, 0.000], [0.500, 0.000, 0.000], [0.000, 0.000, 0.000], [0.500, 0.500, 0.500], [0.000, 0.000, 0.500]]
}


No. 18
{
  "formula": "LaTePbI2",
  "functional": "PBE",
  "state": "optimized geometry",
  "spacegroup": "P4/mmm, No. 123",
  "total_energy_ev_per_atom": -3.58,
  "formation_energy_uncorrected_ev_per_fu": -3.04,
  "lattice_angstrom": [[6.200, 0.000, 0.000], [0.000, 6.200, 0.000], [0.000, 0.000, 6.209]],
  "species": ["La", "Te", "Pb", "I", "I"],
  "frac_coords": [[0.000, 0.000, 0.000], [0.000, 0.000, 0.500], [0.500, 0.500, 0.500], [0.000, 0.500, 0.000], [0.500, 0.000, 0.000]]
}


No. 19
{
  "formula": "La3TePbI",
  "functional": "PBE",
  "state": "optimized geometry",
  "spacegroup": "P2_1/m, No. 11",
  "total_energy_ev_per_atom": -4.77,
  "formation_energy_uncorrected_ev_per_fu": -5.43,
  "lattice_angstrom": [[9.668, 0.000, 0.000], [0.000, 4.434, 0.000], [-0.141, 0.000, 10.867]],
  "species": ["La", "La", "La", "La", "La", "La", "Te", "Te", "Pb", "Pb", "I", "I"],
  "frac_coords": [[0.121, 0.250, 0.066], [0.132, 0.250, 0.659], [0.368, 0.750, 0.361], [0.632, 0.250, 0.639], [0.868, 0.750, 0.341], [0.879, 0.750, 0.934], [0.383, 0.750, 0.660], [0.617, 0.250, 0.340], [0.118, 0.250, 0.358], [0.882, 0.750, 0.642], [0.357, 0.750, 0.061], [0.643, 0.250, 0.939]]
}


No. 20
{
  "formula": "LaTe2PbI",
  "functional": "PBE",
  "state": "optimized geometry",
  "spacegroup": "P4/mmm, No. 123",
  "total_energy_ev_per_atom": -3.56,
  "formation_energy_uncorrected_ev_per_fu": -1.33,
  "polymorph_energy_ev_per_atom": 0.226,
  "lattice_angstrom": [[5.949, 0.000, 0.000], [0.000, 5.949, 0.000], [0.000, 0.000, 5.837]],
  "species": ["La", "Te", "Te", "Pb", "I"],
  "frac_coords": [[0.000, 0.000, 0.000], [0.000, 0.500, 0.500], [0.500, 0.000, 0.500], [0.500, 0.500, 0.500], [0.500, 0.500, 0.000]]
}